Below is PtRhN2F after structural relaxation, with properties calculated at the PBE level.

extended XYZ file:
```
5
Lattice="-3.1401 -2.2258 -0.6616 0.2312 -1.4069 3.6358 -2.3726 2.9617 1.2969" Properties=species:S:1:pos:R:3 pbc="T T T"
F -1.1863 1.4809 0.6485
N 0.1156 -0.7034 1.8179
N -1.5700 -1.1129 -0.3308
Rh 0.0000 0.0000 0.0000
Pt -2.6407 -0.3355 2.1356
```

Summary:
Excess energy over the best structure of this formula in the dataset in meV/atom: 0
D(E_F) in states/eV per cell: 3.6
Total moment in μB per atom: 0.000
ΔE_f (raw) in meV per atom: 1133
Space-group type: P4/mmm